# VSb2PbI | Alexandria | GGA-PBE | optimized geometry
# SG = P4/mmm, No. 123
# ΔE_f (raw) = 0.2641 eV/atom
data_VSb2PbI
_space_group_name_H-M_alt 'P 1'
_space_group_IT_number 1
_cell_length_a 5.134
_cell_length_b 5.134
_cell_length_c 5.913
_cell_angle_alpha 90.00
_cell_angle_beta 90.00
_cell_angle_gamma 90.00
loop_
_space_group_symop_operation_xyz
'x,y,z'
loop_
_atom_site_label
_atom_site_fract_x
_atom_site_fract_y
_atom_site_fract_z
_atom_site_occupancy
Pb1 0.500 0.500 0.500 1
I1 0.000 0.000 0.500 1
V1 0.000 0.000 0.000 1
Sb1 0.000 0.500 0.000 1
Sb2 0.500 0.000 0.000 1